VASP calculation (PBE-GGA) on Pm6Y2In after structural relaxation.

Values from the calculation:
- Total magnetic moment: 0.000 μB per formula unit
- Crystal system: orthorhombic
- Density of states at the Fermi level: 34.90 states/eV per cell
- Calculated total energy: -4.9237 eV/atom
- E_form: -0.016 eV/atom

Cell lengths 9.830, 17.004, 3.464 Å; angles 90.00, 90.00, 90.00 degrees
Space group Cmmm (No. 65)
Symmetry-distinct sites (fractional):
Pm (0.162, 0.163, 0.000) (multiplicity 8)
Pm (0.176, 0.500, 0.000) (multiplicity 4)
Y (0.000, 0.334, 0.500) (multiplicity 4)
In (0.000, 0.000, 0.500) (multiplicity 2)

=====

VASP calculation (PBE-GGA) on Pm2Y2In3 after structural relaxation.

Values from the calculation:
- Total magnetic moment: 0.001 μB per formula unit
- Crystal system: monoclinic
- Density of states at the Fermi level: 13.89 states/eV per cell
- Calculated total energy: -4.7487 eV/atom
- E_form: -0.371 eV/atom

Cell lengths 12.798, 3.838, 8.376 Å; angles 90.00, 100.46, 90.00 degrees
Space group C2/m (No. 12)
Symmetry-distinct sites (fractional):
Pm (0.067, 0.000, 0.207) (multiplicity 4)
Y (0.199, 0.000, 0.648) (multiplicity 4)
In (0.000, 0.500, 0.500) (multiplicity 2)
In (0.157, 0.500, 0.945) (multiplicity 4)

=====

VASP calculation (PBE-GGA) on Pm5Y2In4 after structural relaxation.

Values from the calculation:
- Total magnetic moment: 0.001 μB per formula unit
- Crystal system: orthorhombic
- Density of states at the Fermi level: 23.95 states/eV per cell
- Calculated total energy: -4.5067 eV/atom
- E_form: -0.176 eV/atom

Cell lengths 3.744, 8.854, 21.440 Å; angles 90.00, 90.00, 90.00 degrees
Space group Immm (No. 71)
Symmetry-distinct sites (fractional):
Pm (0.000, 0.000, 0.000) (multiplicity 2)
Pm (0.000, 0.293, 0.346) (multiplicity 8)
Y (0.000, 0.500, 0.082) (multiplicity 4)
In (0.000, 0.215, 0.500) (multiplicity 4)
In (0.000, 0.500, 0.222) (multiplicity 4)